[1]
Material: AcNdEuAg
Method: DFT, GGA-PBE
State: optimized geometry

a = 5.7101 Å, b = 5.7101 Å, c = 5.7101 Å
α = 60.00°, β = 60.00°, γ = 60.00°
Closest atoms and distances in Å follow each position.
Fractional positions:
Ac 0.0000 0.0000 0.0000  4 Nd 3.50, 4 Eu 3.50
Nd 0.2500 0.2500 0.2500  4 Ac 3.50, 4 Ag 3.50
Eu 0.7500 0.7500 0.7500  4 Ac 3.50, 4 Ag 3.50
Ag 0.5000 0.5000 0.5000  4 Nd 3.50, 4 Eu 3.50

Values from the calculation:
- theoretical density (g/cm3) = 8.0
- spin magnetization (Bohr magnetons per cell) = 8.071
- ΔH_f (0 K) (meV/atom) = 165



[2]
Material: Y8Te4PdSe3
Method: DFT, GGA-PBE
State: optimized geometry

a = 8.5506 Å, b = 8.5506 Å, c = 8.5506 Å
α = 59.14°, β = 59.14°, γ = 59.14°
Closest atoms and distances in Å follow each position.
Fractional positions:
Y 0.2397 0.2397 0.2397  3 Se 2.88, 3 Te 3.14
Y 0.2497 0.7347 0.7347  1 Pd 2.82, 2 Se 2.91, 2 Te 3.11
Y 0.2653 0.2653 0.7503  1 Pd 2.82, 2 Se 2.91, 2 Te 3.11
Y 0.2653 0.7503 0.2653  1 Pd 2.82, 2 Se 2.91, 2 Te 3.11
Y 0.7347 0.2497 0.7347  1 Pd 2.82, 2 Se 2.91, 2 Te 3.11
Y 0.7347 0.7347 0.2497  1 Pd 2.82, 2 Se 2.91, 2 Te 3.11
Y 0.7503 0.2653 0.2653  1 Pd 2.82, 2 Se 2.91, 2 Te 3.11
Y 0.7603 0.7603 0.7603  3 Se 2.88, 3 Te 3.14
Te 0.0000 0.0000 0.0000  6 Y 3.19
Te 0.0000 0.5000 0.5000  6 Y 3.11-3.14
Te 0.5000 0.0000 0.5000  6 Y 3.11-3.14
Te 0.5000 0.5000 0.0000  6 Y 3.11-3.14
Pd 0.5000 0.5000 0.5000  6 Y 2.82
Se 0.0000 0.0000 0.5000  6 Y 2.88-2.91
Se 0.0000 0.5000 0.0000  6 Y 2.88-2.91
Se 0.5000 0.0000 0.0000  6 Y 2.88-2.91

Values from the calculation:
- theoretical density (g/cm3) = 6.0
- spin magnetization (Bohr magnetons per cell) = 0.000
- formation energy (no corrections) (eV per atom) = -1.4460



[3]
Material: Pr3MgCd
Method: DFT, GGA-PBE
State: optimized geometry

a = 10.7466 Å, b = 10.7466 Å, c = 5.4648 Å
α = 90.00°, β = 90.00°, γ = 150.51°
Closest atoms and distances in Å follow each position.
Fractional positions:
Pr 0.0604 0.9396 0.7500  2 Mg 3.36, 2 Cd 3.38, 4 Pr 3.71-3.74
Pr 0.2500 0.7500 0.7500  4 Cd 3.36, 4 Mg 3.38
Pr 0.4378 0.5622 0.7500  2 Mg 3.34, 2 Cd 3.36, 2 Pr 3.74
Pr 0.5622 0.4378 0.2500  2 Mg 3.34, 2 Cd 3.36, 2 Pr 3.74
Pr 0.7500 0.2500 0.2500  4 Cd 3.36, 4 Mg 3.38
Pr 0.9396 0.0604 0.2500  2 Mg 3.36, 2 Cd 3.38, 4 Pr 3.71-3.74
Mg 0.1544 0.8456 0.2500  8 Pr 3.34-3.38
Mg 0.8456 0.1544 0.7500  8 Pr 3.34-3.38
Cd 0.3441 0.6559 0.2500  8 Pr 3.36-3.38
Cd 0.6559 0.3441 0.7500  8 Pr 3.36-3.38

Values from the calculation:
- theoretical density (g/cm3) = 6.0
- spin magnetization (Bohr magnetons per cell) = 0.000
- ΔH_f (0 K) (meV/atom) = -157



[4]
Material: Ca3TlP
Method: DFT, GGA-PBE
State: optimized geometry

a = 7.8057 Å, b = 10.9313 Å, c = 7.5149 Å
α = 90.00°, β = 90.00°, γ = 90.00°
Closest atoms and distances in Å follow each position.
Fractional positions:
Ca 0.0128 0.2500 0.0761  2 P 2.79
Ca 0.2002 0.0377 0.6965  2 P 2.80
Ca 0.2002 0.4623 0.6965  2 P 2.80
Ca 0.2998 0.5377 0.1965  2 P 2.80
Ca 0.2998 0.9623 0.1965  2 P 2.80
Ca 0.4872 0.7500 0.5761  2 P 2.79
Ca 0.5128 0.2500 0.4239  2 P 2.79
Ca 0.7002 0.0377 0.8035  2 P 2.80
Ca 0.7002 0.4623 0.8035  2 P 2.80
Ca 0.7998 0.5377 0.3035  2 P 2.80
Ca 0.7998 0.9623 0.3035  2 P 2.80
Ca 0.9872 0.7500 0.9239  2 P 2.79
Tl 0.0595 0.7500 0.4777  8 Ca 3.35-3.72
Tl 0.4405 0.2500 0.9777  8 Ca 3.35-3.72
Tl 0.5595 0.7500 0.0223  8 Ca 3.35-3.72
Tl 0.9405 0.2500 0.5223  8 Ca 3.35-3.72
P 0.0000 0.0000 0.0000  6 Ca 2.79-2.80
P 0.0000 0.5000 0.0000  6 Ca 2.79-2.80
P 0.5000 0.0000 0.5000  6 Ca 2.79-2.80
P 0.5000 0.5000 0.5000  6 Ca 2.79-2.80

Values from the calculation:
- theoretical density (g/cm3) = 3.7
- spin magnetization (Bohr magnetons per cell) = 0.000
- ΔH_f (0 K) (meV/atom) = -660



[5]
Material: Mg3Mn
Method: DFT, GGA-PBE
State: optimized geometry

a = 5.2864 Å, b = 5.2864 Å, c = 3.0356 Å
α = 90.00°, β = 90.00°, γ = 109.95°
Closest atoms and distances in Å follow each position.
Fractional positions:
Mg 0.0000 0.0000 0.0000  2 Mn 3.03, 10 Mg 3.04-3.05
Mg 0.0000 0.5000 0.5000  8 Mg 3.03-3.05, 4 Mn 3.05
Mg 0.5000 0.0000 0.5000  8 Mg 3.03-3.05, 4 Mn 3.05
Mn 0.5000 0.5000 0.0000  10 Mg 3.03-3.05, 2 Mn 3.04

Values from the calculation:
- theoretical density (g/cm3) = 2.7
- spin magnetization (Bohr magnetons per cell) = 3.536
- ΔH_f (0 K) (meV/atom) = 207



[6]
Material: TaPdI2N
Method: DFT, GGA-PBE
State: optimized geometry

a = 5.6411 Å, b = 5.6411 Å, c = 3.8885 Å
α = 90.00°, β = 90.00°, γ = 90.00°
Closest atoms and distances in Å follow each position.
Fractional positions:
Ta 0.0000 0.0000 0.0000  2 N 1.94
Pd 0.5000 0.5000 0.5000  8 I 3.43
I 0.0000 0.5000 0.0000  2 Ta 2.82
I 0.5000 0.0000 0.0000  2 Ta 2.82
N 0.0000 0.0000 0.5000  2 Ta 1.94

Values from the calculation:
- theoretical density (g/cm3) = 7.5
- spin magnetization (Bohr magnetons per cell) = 0.000
- formation energy (no corrections) (eV per atom) = 0.3238